## YTmTcAu (PBE)

Data for YTmTcAu after structural relaxation.

For the magnetization, the calculation gives 0.000 μB per atom. The calculation puts the formation energy at -0.377 eV per atom.

It has space group F-43m (No. 216), with a = 6.9685 Å, b = 6.9685 Å, c = 6.9685 Å, α = 90.00°, β = 90.00° and γ = 90.00°. Symmetry generates all atoms from Y at (0.0000, 0.0000, 0.0000), Tm at (0.0000, 0.0000, 0.5000), Tc at (0.2500, 0.2500, 0.7500) and Au at (0.2500, 0.2500, 0.2500).